An optimized crystal structure of Pa2Ga4Co, computed with PBE.

Cell and atoms, written as extended XYZ:
```
7
Lattice="4.401 0.000 0.000 0.000 4.401 0.000 -2.200 -2.200 7.456" Properties=species:S:1:pos:R:3 pbc="T T T"
Pa 0.000 0.000 5.237
Pa 2.200 2.200 2.219
Ga 0.000 2.200 0.000
Ga 0.000 0.000 2.390
Ga 2.200 0.000 0.000
Ga 2.200 2.200 5.066
Co 0.000 0.000 0.000
```

Computed properties:
Formation enthalpy at 0 K   -74 meV/atom
Space-group type   I4/mmm (139)

An optimized crystal structure of ReSBr2, computed with PBE.

Cell and atoms, written as extended XYZ:
```
8
Lattice="-3.961 -6.894 5.195 8.409 -4.373 0.608 2.682 -4.496 4.761" Properties=species:S:1:pos:R:3 pbc="T T T"
Re 0.000 0.000 0.000
Re 0.472 -8.512 6.429
Br 2.451 -6.958 5.658
Br -1.278 -9.496 8.129
Br 2.049 -10.606 6.656
Br -1.332 -6.986 5.272
S 2.224 -5.634 2.902
S 6.658 -7.251 4.135
```

Computed properties:
Offset from the most stable computed form   0.0000 eV/atom
Space-group type   I-42d (122)
Uncorrected formation energy   0.14 eV/atom

An optimized crystal structure of NaTe4Mo2, computed with PBE.

Cell and atoms, written as extended XYZ:
```
7
Lattice="-1.301 2.922 -4.540 -5.395 -0.891 0.973 -3.634 7.151 2.248" Properties=species:S:1:pos:R:3 pbc="T T T"
Mo -3.394 2.003 -1.135
Mo -6.936 7.180 -0.184
Na 0.000 0.000 0.000
Te -2.697 -0.445 0.486
Te -3.494 4.151 0.277
Te -0.651 1.461 -2.270
Te -6.836 5.032 -1.595
```

Computed properties:
Space-group type   I4/mmm (139)
Uncorrected formation energy   0.56 eV/atom

An optimized crystal structure of YTmPt4, computed with PBE.

Cell and atoms, written as extended XYZ:
```
6
Lattice="5.425 0.000 0.000 2.713 4.698 0.000 2.713 1.566 4.430" Properties=species:S:1:pos:R:3 pbc="T T T"
Pt 5.425 1.564 2.769
Pt 6.783 3.916 2.769
Pt 5.425 3.132 0.551
Pt 4.067 3.916 2.769
Y 2.713 1.566 1.107
Tm 0.000 0.000 0.000
```

Computed properties:
Formation enthalpy at 0 K   -1119 meV/atom
Space-group type   F-43m (216)

An optimized crystal structure of Tb2Ce4Rh9, computed with PBE.

Cell and atoms, written as extended XYZ:
```
15
Lattice="-0.287 -3.973 -2.212 2.257 3.489 -1.867 14.316 -5.229 7.535" Properties=species:S:1:pos:R:3 pbc="T T T"
Rh 14.727 -3.862 5.027
Rh 7.158 -2.614 3.768
Rh 9.717 -2.032 2.390
Rh 4.740 -1.731 2.495
Rh 6.570 -3.680 1.065
Rh 1.560 -1.850 -1.571
Rh 2.331 -0.851 1.227
Rh 11.985 -4.378 6.308
Rh 9.576 -3.498 5.040
Ce 7.189 -1.109 1.060
Ce 2.856 0.474 -1.221
Ce 13.431 -6.186 4.677
Ce 9.098 -4.603 2.396
Tb 12.172 -2.929 3.682
Tb 4.115 -2.783 -0.227
```

Computed properties:
Formation enthalpy at 0 K   -679 meV/atom
Space-group type   P-3m1 (164)

An optimized crystal structure of AcIn3Ir2, computed with PBE.

Cell and atoms, written as extended XYZ:
```
12
Lattice="-6.308 3.051 -6.418 -8.054 -4.838 -1.418 -6.532 1.513 0.105" Properties=species:S:1:pos:R:3 pbc="T T T"
Ir 0.000 0.000 0.000
Ir -4.027 -2.419 -0.709
Ir -7.181 -0.894 -3.918
Ir -3.154 1.525 -3.209
In -12.521 -1.730 -2.584
In -11.647 2.219 -5.088
In -8.490 0.691 -1.875
In -8.373 1.456 -5.147
In -9.247 -2.493 -2.643
In -12.405 -0.966 -5.856
Ac -15.674 -0.202 -5.794
Ac -5.221 -0.072 -1.937
```

Computed properties:
Formation enthalpy at 0 K   -257 meV/atom
Offset from the most stable computed form   0.1007 eV/atom
Space-group type   R-3m (166)

An optimized crystal structure of LaReAu2, computed with PBE.

Cell and atoms, written as extended XYZ:
```
4
Lattice="4.117 0.000 0.000 0.000 2.998 -0.006 0.000 3.011 6.613" Properties=species:S:1:pos:R:3 pbc="T T T"
La 2.059 1.502 1.652
Au 0.000 3.011 6.322
Au 0.000 3.005 3.595
Re 2.059 4.507 4.955
```

Computed properties:
Formation enthalpy at 0 K   190 meV/atom
Offset from the most stable computed form   0.0293 eV/atom
Space-group type   Pmmm (47)

An optimized crystal structure of NiAs2CBr, computed with PBE.

Cell and atoms, written as extended XYZ:
```
5
Lattice="4.543 0.000 0.000 0.000 4.543 0.000 0.000 0.000 5.000" Properties=species:S:1:pos:R:3 pbc="T T T"
Ni 0.000 0.000 0.000
As 0.000 2.271 0.000
As 2.271 0.000 0.000
C 2.271 2.271 2.500
Br 0.000 0.000 2.500
```

Computed properties:
Offset from the most stable computed form   0.2654 eV/atom
Space-group type   P4/mmm (123)
Uncorrected formation energy   1.65 eV/atom

An optimized crystal structure of KLi4Hg12, computed with PBE.

Cell and atoms, written as extended XYZ:
```
17
Lattice="-4.621 4.773 -5.154 -4.431 -6.777 2.269 2.044 4.434 6.846" Properties=species:S:1:pos:R:3 pbc="T T T"
Hg -3.124 5.695 0.646
Hg -0.715 4.112 4.395
Hg -3.884 -3.265 3.315
Hg -1.969 -0.066 6.223
Hg -6.292 -1.682 -0.435
Hg -5.039 2.496 -2.263
Hg -4.674 -0.444 3.833
Hg -1.238 0.652 3.430
Hg -3.489 3.498 3.511
Hg -3.519 -1.068 0.450
Hg -2.334 2.874 0.128
Hg -5.770 1.778 0.531
K 0.000 0.000 0.000
Li -3.504 1.215 1.980
Li -2.310 2.387 -2.577
Li 1.022 2.217 3.423
Li -2.215 -3.388 1.134
```

Computed properties:
Formation enthalpy at 0 K   -141 meV/atom
Space-group type   Im-3 (204)